YTm8Th2: optimized geometry, PBE-GGA.

Geometry as CIF:
```
data_YTm8Th2
_chemical_formula_sum 'Y1 Tm8 Th2'
_cell_length_a 8.900
_cell_length_b 8.900
_cell_length_c 6.562
_cell_angle_alpha 99.00
_cell_angle_beta 99.00
_cell_angle_gamma 42.91
_space_group_name_H-M_alt 'P 1'
_space_group_IT_number 1
_space_group_name_Hall 'P 1'
loop_
_atom_site_label
_atom_site_fract_x
_atom_site_fract_y
_atom_site_fract_z
_atom_site_occupancy
Y1 0.000 0.000 0.000 1
Tm1 0.174 0.654 0.595 1
Tm2 0.200 0.200 0.816 1
Tm3 0.346 0.826 0.405 1
Tm4 0.410 0.410 0.096 1
Tm5 0.590 0.590 0.904 1
Tm6 0.654 0.174 0.595 1
Tm7 0.800 0.800 0.184 1
Tm8 0.826 0.346 0.405 1
Th1 0.248 0.248 0.335 1
Th2 0.752 0.752 0.665 1
```

Summary:
Its total magnetization is 0.000 μB/cell. For the energy above the most stable polymorph in this dataset, the calculation gives 0 meV/atom. The space group is C2/m, No. 12. The formation energy from the elements comes out at 18 kJ per mole of atoms.